# 1
This record from Alexandria via LeMat-Bulk describes crystalline Ac2TcTe at its relaxed geometry. The functional is PBE.

It has space group R-3m (No. 166, hexagonal axes), with a = 4.1755 Å, b = 4.1755 Å, c = 29.9332 Å, α = 90.00°, β = 90.00° and γ = 120.00°. The asymmetric unit holds Ac at (0.0000, 0.0000, 0.0895), Tc at (0.0000, 0.0000, 0.0000) and Te at (0.0000, 0.0000, 0.5000).

The value obtained for the spin magnetization is 0.3158 μB/atom. For the density of states at the Fermi level, the calculation gives 15.994 states/eV per cell. For the total DFT energy (no corrections), the calculation gives -60.5 eV for the cell shown.

=====

# 2
This record from Alexandria via LeMat-Bulk describes crystalline AcTcTe2 at its relaxed geometry. The functional is PBE.

It has space group R-3m (No. 166, hexagonal axes), with a = 4.9210 Å, b = 4.9210 Å, c = 26.3790 Å, α = 90.00°, β = 90.00° and γ = 120.00°. The asymmetric unit holds Ac at (0.0000, 0.0000, 0.0000), Tc at (0.0000, 0.0000, 0.5000) and Te at (0.0000, 0.0000, 0.3988).

The value obtained for the spin magnetization is 0.9998 μB/atom. For the density of states at the Fermi level, the calculation gives 6.678 states/eV per cell. For the total DFT energy (no corrections), the calculation gives -61.9 eV for the cell shown.

=====

# 3
This record from Alexandria via LeMat-Bulk describes crystalline AcThTc4 at its relaxed geometry. The functional is PBE.

It has space group F-43m (No. 216), with a = 7.8573 Å, b = 7.8573 Å, c = 7.8573 Å, α = 90.00°, β = 90.00° and γ = 90.00°. The asymmetric unit holds Ac at (0.0000, 0.0000, 0.0000), Th at (0.2500, 0.2500, 0.2500) and Tc at (0.1247, 0.1247, 0.6247).

The value obtained for the spin magnetization is 0.2383 μB/atom. As for the calculated formation energy: 81.4 kJ/mol of formula units. For the density of states at the Fermi level, the calculation gives 47.121 states/eV per cell.

=====

# 4
This record from Alexandria via LeMat-Bulk describes crystalline AcTh3Tc at its relaxed geometry. The functional is PBE.

It has space group Pm-3m (No. 221), with a = 5.5543 Å, b = 5.5543 Å, c = 5.5543 Å, α = 90.00°, β = 90.00° and γ = 90.00°. The asymmetric unit holds Ac at (0.0000, 0.0000, 0.0000), Th at (0.0000, 0.5000, 0.5000) and Tc at (0.5000, 0.5000, 0.5000).

The value obtained for the spin magnetization is 0.0000 μB/atom. As for the calculated formation energy: 35.9 kJ/mol of formula units. For the density of states at the Fermi level, the calculation gives 7.179 states/eV per cell.

=====

# 5
This record from Alexandria via LeMat-Bulk describes crystalline Ac6Tl2Tc at its relaxed geometry. The functional is PBE.

It has space group P2_1/c (No. 14), with a = 7.7995 Å, b = 8.0266 Å, c = 13.6178 Å, α = 90.00°, β = 124.19° and γ = 90.00°. The asymmetric unit holds Ac at (0.1577, 0.1993, 0.4584), Ac at (0.2612, 0.6993, 0.4584), Ac at (0.3403, 0.0099, 0.2511), Tl at (0.2231, 0.0674, 0.7459) and Tc at (0.5000, 0.0000, 0.5000).

The value obtained for the spin magnetization is 0.0000 μB/atom. As for the calculated formation energy: -98.3 kJ/mol of formula units. For the density of states at the Fermi level, the calculation gives 17.143 states/eV per cell.

=====

# 6
This record from Alexandria via LeMat-Bulk describes crystalline Ac3TlTc at its relaxed geometry. The functional is PBE.

It has space group C2/m (No. 12), with a = 18.2941 Å, b = 4.1693 Å, c = 9.4289 Å, α = 90.00°, β = 91.64° and γ = 90.00°. The asymmetric unit holds Ac at (0.0483, 0.0000, 0.2017), Ac at (0.1019, 0.5000, 0.5515), Ac at (0.2502, 0.0000, 0.8029), Tl at (0.1072, 0.5000, 0.9237) and Tc at (0.2193, 0.0000, 0.4791).

The value obtained for the spin magnetization is 0.0002 μB/atom. As for the calculated formation energy: -37.3 kJ/mol of formula units. As for the polymorph energy (0 for the lowest one): 0 meV per atom. For the density of states at the Fermi level, the calculation gives 26.014 states/eV per cell.

=====

# 7
This record from Alexandria via LeMat-Bulk describes crystalline Ac3TlTc at its relaxed geometry. The functional is PBE.

It has space group Pm-3m (No. 221), with a = 5.6735 Å, b = 5.6735 Å, c = 5.6735 Å, α = 90.00°, β = 90.00° and γ = 90.00°. The asymmetric unit holds Ac at (0.0000, 0.0000, 0.5000), Tl at (0.5000, 0.5000, 0.5000) and Tc at (0.0000, 0.0000, 0.0000).

The value obtained for the spin magnetization is 0.0000 μB/atom. As for the calculated formation energy: -14.2 kJ/mol of formula units. As for the polymorph energy (0 for the lowest one): 48 meV per atom. For the density of states at the Fermi level, the calculation gives 4.030 states/eV per cell.

=====

# 8
This record from Alexandria via LeMat-Bulk describes crystalline AcTm3Tc at its relaxed geometry. The functional is PBE.

It has space group Pm-3m (No. 221), with a = 5.4147 Å, b = 5.4147 Å, c = 5.4147 Å, α = 90.00°, β = 90.00° and γ = 90.00°. The asymmetric unit holds Ac at (0.0000, 0.0000, 0.0000), Tm at (0.0000, 0.5000, 0.5000) and Tc at (0.5000, 0.5000, 0.5000).

The value obtained for the spin magnetization is 0.0000 μB/atom. As for the calculated formation energy: 25.2 kJ/mol of formula units. As for the polymorph energy (0 for the lowest one): 80 meV per atom. For the density of states at the Fermi level, the calculation gives 7.306 states/eV per cell.

=====

# 9
This record from Alexandria via LeMat-Bulk describes crystalline AcTmTc4 at its relaxed geometry. The functional is PBE.

It has space group F-43m (No. 216), with a = 7.7820 Å, b = 7.7820 Å, c = 7.7820 Å, α = 90.00°, β = 90.00° and γ = 90.00°. The asymmetric unit holds Ac at (0.0000, 0.0000, 0.0000), Tm at (0.2500, 0.2500, 0.7500) and Tc at (0.1245, 0.1245, 0.3755).

The value obtained for the spin magnetization is 0.0001 μB/atom. As for the calculated formation energy: 73.0 kJ/mol of formula units. For the density of states at the Fermi level, the calculation gives 41.994 states/eV per cell.

=====

# 10
This record from Alexandria via LeMat-Bulk describes crystalline AcTm3Tc at its relaxed geometry. The functional is PBE.

It has space group Pmmn (No. 59, origin choice 2), with a = 4.1734 Å, b = 8.6910 Å, c = 8.5413 Å, α = 90.00°, β = 90.00° and γ = 90.00°. The asymmetric unit holds Ac at (0.2500, 0.2500, 0.0487), Tm at (0.2500, 0.5569, 0.6495), Tm at (0.2500, 0.7500, 0.3047) and Tc at (0.2500, 0.2500, 0.4782).

The value obtained for the spin magnetization is 0.0000 μB/atom. As for the calculated formation energy: -13.6 kJ/mol of formula units. As for the polymorph energy (0 for the lowest one): 0 meV per atom. For the density of states at the Fermi level, the calculation gives 10.077 states/eV per cell.

=====

# 11
This record from Alexandria via LeMat-Bulk describes crystalline AcV2Tc at its relaxed geometry. The functional is PBE.

It has space group R-3m (No. 166, hexagonal axes), with a = 4.6037 Å, b = 4.6037 Å, c = 11.7286 Å, α = 90.00°, β = 90.00° and γ = 120.00°. The asymmetric unit holds Ac at (0.0000, 0.0000, 0.0000), V at (0.0000, 0.0000, 0.2461) and Tc at (0.0000, 0.0000, 0.5000).

The value obtained for the spin magnetization is 0.0000 μB/atom. As for the calculated formation energy: 251.5 kJ/mol of formula units. For the density of states at the Fermi level, the calculation gives 19.262 states/eV per cell.

=====

# 12
This record from Alexandria via LeMat-Bulk describes crystalline AcVTc at its relaxed geometry. The functional is PBE.

It has space group C2/m (No. 12), with a = 7.1720 Å, b = 4.1526 Å, c = 10.6038 Å, α = 90.00°, β = 103.12° and γ = 90.00°. The asymmetric unit holds Ac at (0.1128, 0.0000, 0.3340), V at (0.1401, 0.5000, 0.9210) and Tc at (0.2185, 0.5000, 0.1533).

The value obtained for the spin magnetization is 0.0000 μB/atom. As for the calculated formation energy: 80.7 kJ/mol of formula units. For the density of states at the Fermi level, the calculation gives 10.169 states/eV per cell.